Record 1
Material: Dy2TmAl7Ag2
Method: DFT, PBE
State: relaxed

Structure (POSCAR):
```
Dy2TmAl7Ag2
1.0
2.7680 1.5981 8.7550
-2.7680 1.5981 8.7550
0.0000 -3.1962 8.7550
Dy Tm Al Ag
2 1 7 2
Direct
0.1423 0.1423 0.1423
0.8577 0.8577 0.8577
0.0000 0.0000 0.0000
0.0757 0.5879 0.5880
0.4120 0.4121 0.9243
0.4120 0.9243 0.4120
0.5000 0.5000 0.5000
0.5879 0.0757 0.5879
0.5879 0.5879 0.0757
0.9243 0.4121 0.4121
0.3358 0.3358 0.3358
0.6642 0.6642 0.6642
```

## Properties
ρ: 6.4 g/cm³
uncorrected energy: -50.8 eV/f.u.
total moment: 0.0 μB/cell


Record 2
Material: NbSbMo
Method: DFT, PBE
State: relaxed

Structure (POSCAR):
```
NbSbMo
1.0
0.0000 3.2001 3.2001
3.2001 0.0000 3.2001
3.2001 3.2001 0.0000
Nb Sb Mo
1 1 1
Direct
0.0000 0.0000 0.0000
0.7500 0.7500 0.7500
0.2500 0.2500 0.2500
```

## Properties
ρ: 7.9 g/cm³
energy relative to the lowest polymorph listed for this composition: 0.449 eV per atom
total moment: 0.0 μB/cell


Record 3
Material: Tb4Ge3N
Method: DFT, PBE
State: relaxed

Structure (POSCAR):
```
Tb4Ge3N
1.0
-2.8501 2.8501 5.6501
2.8501 -2.8501 5.6501
2.8501 2.8501 -5.6501
Tb Ge N
4 3 1
Direct
0.0000 0.5000 0.5000
0.2053 0.2053 0.0000
0.5000 0.0000 0.5000
0.7947 0.7947 0.0000
0.2500 0.7500 0.5000
0.5000 0.5000 0.0000
0.7500 0.2500 0.5000
0.0000 0.0000 0.0000
```

## Properties
ρ: 7.8 g/cm³
uncorrected energy: -46.8 eV/f.u.
total moment: 0.0 μB/cell


Record 4
Material: PuScSi
Method: DFT, PBE
State: relaxed

Structure (POSCAR):
```
PuScSi
1.0
0.0000 3.2079 3.2079
3.2079 0.0000 3.2079
3.2079 3.2079 0.0000
Pu Sc Si
1 1 1
Direct
0.0000 0.0000 0.0000
0.7500 0.7500 0.7500
0.2500 0.2500 0.2500
```

## Properties
ρ: 8.0 g/cm³
energy relative to the lowest polymorph listed for this composition: 0.644 eV per atom
total moment: 6.8 μB/cell


Record 5
Material: BaInSbPd2
Method: DFT, PBE
State: relaxed

Structure (POSCAR):
```
BaInSbPd2
1.0
4.8902 0.0000 0.0000
0.0000 4.8902 0.0000
0.0000 0.0000 10.5130
Ba In Sb Pd
2 2 2 4
Direct
0.2500 0.2500 0.2451
0.7500 0.7500 0.7549
0.2500 0.2500 0.8826
0.7500 0.7500 0.1174
0.2500 0.7500 0.5000
0.7500 0.2500 0.5000
0.2500 0.2500 0.6184
0.2500 0.7500 0.0000
0.7500 0.2500 0.0000
0.7500 0.7500 0.3816
```

## Properties
ρ: 7.8 g/cm³
energy relative to the lowest polymorph listed for this composition: 0.052 eV per atom


Record 6
Material: CsGd2Cu3Se4S
Method: DFT, PBE
State: relaxed

Structure (POSCAR):
```
CsGd2Cu3Se4S
1.0
2.0583 -7.3616 0.0000
2.0583 7.3616 0.0000
0.0000 0.0000 17.3348
Cs Gd Cu Se S
2 4 6 8 2
Direct
0.0657 0.9343 0.7500
0.9343 0.0657 0.2500
0.1927 0.8073 0.0942
0.1927 0.8073 0.4058
0.8073 0.1927 0.5942
0.8073 0.1927 0.9058
0.3368 0.6632 0.7500
0.4152 0.5848 0.0293
0.4152 0.5848 0.4707
0.5848 0.4152 0.5293
0.5848 0.4152 0.9707
0.6632 0.3368 0.2500
0.1668 0.8332 0.5703
0.1668 0.8332 0.9297
0.4412 0.5588 0.6132
0.4412 0.5588 0.8868
0.5588 0.4412 0.1132
0.5588 0.4412 0.3868
0.8332 0.1668 0.0703
0.8332 0.1668 0.4297
0.2296 0.7704 0.2500
0.7704 0.2296 0.7500
```

## Properties
ρ: 6.2 g/cm³
uncorrected energy: -52.1 eV/f.u.
total moment: 0.0 μB/cell


Record 7
Material: LiThAuSe3
Method: DFT, PBE
State: relaxed

Structure (POSCAR):
```
LiThAuSe3
1.0
2.0627 -6.6768 0.0000
2.0627 6.6768 0.0000
0.0000 0.0000 10.8864
Li Th Au Se
2 2 2 6
Direct
0.2244 0.7756 0.7500
0.7756 0.2244 0.2500
0.0000 0.0000 0.0000
0.0000 0.0000 0.5000
0.4727 0.5273 0.2500
0.5273 0.4727 0.7500
0.1008 0.8992 0.2500
0.3516 0.6484 0.0635
0.3516 0.6484 0.4365
0.6484 0.3516 0.5635
0.6484 0.3516 0.9365
0.8992 0.1008 0.7500
```

## Properties
ρ: 7.5 g/cm³
uncorrected energy: -29.9 eV/f.u.
total moment: 0.0 μB/cell


Record 8
Material: PaAlNO
Method: DFT, PBE
State: relaxed

Structure (POSCAR):
```
PaAlNO
1.0
5.4586 0.0000 0.0000
0.0000 8.1867 0.0000
0.0000 0.0000 5.0707
Pa Al N O
4 4 4 4
Direct
0.0078 0.1360 0.0000
0.4922 0.1360 0.5000
0.5078 0.8640 0.0000
0.9922 0.8640 0.5000
0.0856 0.5867 0.9433
0.4144 0.5867 0.4433
0.5856 0.4133 0.9433
0.9144 0.4133 0.4433
0.0960 0.5832 0.5744
0.4040 0.5832 0.0744
0.5960 0.4168 0.5744
0.9040 0.4168 0.0744
0.0215 0.2035 0.5090
0.4785 0.2035 0.0090
0.5215 0.7965 0.5090
0.9785 0.7965 0.0090
```

## Properties
ρ: 8.4 g/cm³
energy relative to the lowest polymorph listed for this composition: 0.149 eV per atom
total moment: 4.7 μB/cell


Record 9
Material: MgAgSeO
Method: DFT, PBE
State: relaxed

Structure (POSCAR):
```
MgAgSeO
1.0
6.1237 0.0000 0.0000
0.0000 7.9210 0.0000
0.0000 0.0000 5.7798
Mg Ag Se O
4 4 4 4
Direct
0.0872 0.1721 0.0000
0.4128 0.1721 0.5000
0.5872 0.8279 0.0000
0.9128 0.8279 0.5000
0.2471 0.5897 0.7722
0.2529 0.5897 0.2722
0.7471 0.4103 0.7722
0.7529 0.4103 0.2722
0.0126 0.8462 0.0223
0.4874 0.8462 0.5223
0.5126 0.1538 0.0223
0.9874 0.1538 0.5223
0.0139 0.4114 0.0204
0.4861 0.4114 0.5204
0.5139 0.5886 0.0204
0.9861 0.5886 0.5204
```

## Properties
ρ: 5.4 g/cm³
energy relative to the lowest polymorph listed for this composition: 0.438 eV per atom


Record 10
Material: GdDyTm2Mg2
Method: DFT, PBE
State: relaxed

Structure (POSCAR):
```
GdDyTm2Mg2
1.0
5.4616 0.0000 0.0000
0.0000 1.8111 8.6208
0.0000 -1.8111 8.6208
Gd Dy Tm Mg
1 1 2 2
Direct
0.0000 0.0000 0.0000
0.5000 0.8094 0.8094
0.0000 0.6788 0.6788
0.5000 0.1309 0.1309
0.0000 0.3401 0.3401
0.5000 0.4692 0.4692
```

## Properties
ρ: 6.9 g/cm³
uncorrected energy: -21.6 eV/f.u.
total moment: 0.1 μB/cell


Record 11
Material: Pm2Si5Pd3
Method: DFT, PBE
State: relaxed

Structure (POSCAR):
```
Pm2Si5Pd3
1.0
-4.9858 5.8731 2.9886
4.9858 -5.8731 2.9886
4.9858 5.8731 -2.9886
Pm Si Pd
4 10 6
Direct
0.1283 0.2339 0.3622
0.3717 0.7339 0.1056
0.6283 0.2661 0.8944
0.8717 0.7661 0.6378
0.0247 0.7500 0.2747
0.1144 0.6506 0.7650
0.2500 0.2500 0.0000
0.3856 0.1506 0.5363
0.4753 0.7500 0.7253
0.5247 0.2500 0.2747
0.6144 0.8494 0.4637
0.7500 0.7500 0.0000
0.8856 0.3494 0.2350
0.9753 0.2500 0.7253
0.1378 0.8907 0.0285
0.2500 0.7500 0.5000
0.3622 0.3907 0.7529
0.6378 0.6093 0.2471
0.7500 0.2500 0.5000
0.8622 0.1093 0.9715
```

## Properties
ρ: 7.1 g/cm³
uncorrected energy: -60.5 eV/f.u.
total moment: 0.0 μB/cell


Record 12
Material: MgTaZnNi
Method: DFT, PBE
State: relaxed

Structure (POSCAR):
```
MgTaZnNi
1.0
0.0000 3.1212 3.1212
3.1212 0.0000 3.1212
3.1212 3.1212 0.0000
Mg Ta Zn Ni
1 1 1 1
Direct
0.0000 0.0000 0.0000
0.2500 0.2500 0.2500
0.5000 0.5000 0.5000
0.7500 0.7500 0.7500
```

## Properties
ρ: 9.0 g/cm³
energy relative to the lowest polymorph listed for this composition: 0.185 eV per atom
total moment: 0.9 μB/cell


Record 13
Material: Er4CuPd3
Method: DFT, PBE
State: relaxed

Structure (POSCAR):
```
Er4CuPd3
1.0
3.6814 0.0000 0.0000
0.0000 4.5190 0.0000
0.0000 0.0000 10.4077
Er Cu Pd
4 1 3
Direct
0.0000 0.0000 0.0000
0.0000 0.5000 0.2763
0.5000 0.0000 0.4991
0.5000 0.5000 0.7758
0.0000 0.0000 0.7164
0.0000 0.5000 0.5595
0.5000 0.0000 0.2248
0.5000 0.5000 0.0499
```

## Properties
ρ: 10.1 g/cm³
total moment: 0.0 μB/cell
formation energy: -0.79 eV/atom


Record 14
Material: Ba2Ag2TeSF2
Method: DFT, PBE
State: relaxed

Structure (POSCAR):
```
Ba2Ag2TeSF2
1.0
4.3881 0.0000 0.0000
0.0000 4.3881 0.0000
0.0000 0.0000 9.4647
Ba Ag Te S F
2 2 1 1 2
Direct
0.0000 0.0000 0.0000
0.5000 0.5000 0.3169
0.0000 0.5000 0.6891
0.5000 0.0000 0.6891
0.0000 0.0000 0.4942
0.5000 0.5000 0.8570
0.0000 0.5000 0.1604
0.5000 0.0000 0.1604
```

## Properties
ρ: 6.3 g/cm³
uncorrected energy: -36.4 eV/f.u.


Record 15
Material: HfTe2Pd
Method: DFT, PBE
State: relaxed

Structure (POSCAR):
```
HfTe2Pd
1.0
0.0000 3.5486 3.5486
3.5486 0.0000 3.5486
3.5486 3.5486 0.0000
Hf Te Pd
1 2 1
Direct
0.0000 0.0000 0.0000
0.2500 0.2500 0.2500
0.5000 0.5000 0.5000
0.7500 0.7500 0.7500
```

## Properties
ρ: 10.0 g/cm³
uncorrected energy: -21.5 eV/f.u.
total moment: 0.0 μB/cell


Record 16
Material: SrAsIrO
Method: DFT, PBE
State: relaxed

Structure (POSCAR):
```
SrAsIrO
1.0
4.1337 0.0000 0.0000
0.0000 4.1337 0.0000
0.0000 0.0000 9.1504
Sr As Ir O
2 2 2 2
Direct
0.2500 0.2500 0.1256
0.7500 0.7500 0.8744
0.2500 0.2500 0.6498
0.7500 0.7500 0.3502
0.2500 0.7500 0.5000
0.7500 0.2500 0.5000
0.2500 0.7500 0.0000
0.7500 0.2500 0.0000
```

## Properties
ρ: 7.9 g/cm³
energy relative to the lowest polymorph listed for this composition: 0.000 eV per atom
total moment: 0.6 μB/cell


Record 17
Material: Sr2Ag3Sn5
Method: DFT, PBE
State: relaxed

Structure (POSCAR):
```
Sr2Ag3Sn5
1.0
-6.0917 6.6219 3.3397
6.0917 -6.6219 3.3397
6.0917 6.6219 -3.3397
Sr Ag Sn
4 6 10
Direct
0.1272 0.2455 0.3726
0.3728 0.7455 0.1183
0.6272 0.2545 0.8817
0.8728 0.7545 0.6274
0.1302 0.8653 0.9955
0.2500 0.7500 0.5000
0.3698 0.3653 0.7352
0.6302 0.6347 0.2648
0.7500 0.2500 0.5000
0.8698 0.1347 0.0045
0.0047 0.7500 0.2547
0.1125 0.6441 0.7565
0.2500 0.2500 0.0000
0.3875 0.1441 0.5316
0.4953 0.7500 0.7453
0.5047 0.2500 0.2547
0.6125 0.8559 0.4684
0.7500 0.7500 0.0000
0.8875 0.3559 0.2435
0.9953 0.2500 0.7453
```

## Properties
ρ: 6.7 g/cm³
uncorrected energy: -35.4 eV/f.u.


Record 18
Material: DyYB2Ir2N2
Method: DFT, PBE
State: relaxed

Structure (POSCAR):
```
DyYB2Ir2N2
1.0
3.7447 0.0000 0.0000
0.0000 3.7447 0.0000
0.0000 0.0000 7.4473
Dy Y B Ir N
1 1 2 2 2
Direct
0.0000 0.0000 0.0000
0.5000 0.5000 0.6754
0.0000 0.0000 0.4940
0.5000 0.5000 0.1811
0.0000 0.5000 0.3374
0.5000 0.0000 0.3374
0.0000 0.0000 0.6946
0.5000 0.5000 0.9808
```

## Properties
ρ: 10.9 g/cm³
uncorrected energy: -68.0 eV/f.u.
total moment: 0.0 μB/cell


Record 19
Material: LiZr2In2NiPt2
Method: DFT, PBE
State: relaxed

Structure (POSCAR):
```
LiZr2In2NiPt2
1.0
4.6267 0.0000 0.0000
0.0000 4.6267 0.0000
0.0000 0.0000 6.5170
Li Zr In Ni Pt
1 2 2 1 2
Direct
0.0000 0.0000 0.0000
0.0000 0.5000 0.2611
0.5000 0.0000 0.7389
0.0000 0.5000 0.7511
0.5000 0.0000 0.2489
0.5000 0.5000 0.5000
0.0000 0.0000 0.5000
0.5000 0.5000 0.0000
```

## Properties
ρ: 10.3 g/cm³
uncorrected energy: -47.5 eV/f.u.
total moment: 0.0 μB/cell


Record 20
Material: GdBeIr
Method: DFT, PBE
State: relaxed

Structure (POSCAR):
```
GdBeIr
1.0
0.0000 3.0017 3.0017
3.0017 0.0000 3.0017
3.0017 3.0017 0.0000
Gd Be Ir
1 1 1
Direct
0.0000 0.0000 0.0000
0.2500 0.2500 0.2500
0.5000 0.5000 0.5000
```

## Properties
ρ: 11.0 g/cm³
energy relative to the lowest polymorph listed for this composition: 0.427 eV per atom
total moment: 0.0 μB/cell